Entry from Alexandria: an optimized crystal structure of NdTl4 (PBE).

Results
Energy of formation (meV per atom): 407

a b c (Å): 6.073 6.073 6.073
angles (deg): 90.00 90.00 90.00
Fractional coordinates of all 5 atoms:
Nd  0.000  0.000  0.000
Tl  0.000  0.000  0.500
Tl  0.000  0.500  0.000
Tl  0.500  0.000  0.000
Tl  0.500  0.500  0.500